Material: SmCoF6
Method: DFT, PBE+U
State: relaxed

It has space group P312 (No. 149), with a = 5.2904 Å, b = 5.2904 Å, c = 5.0002 Å, α = 90.00°, β = 90.00° and γ = 120.00°. The asymmetric unit holds Sm at (0.0000, 0.0000, 0.0000), Co at (0.6667, 0.3333, 0.5000) and F at (0.3643, 0.0464, 0.7289).

As for the crystal system: trigonal. Its total energy is -44.325 eV/f.u.